# PBE with a Hubbard U V6O11F, relaxed
data_V6O11F
_cell_length_a 3.045
_cell_length_b 19.114
_cell_length_c 6.489
_cell_angle_alpha 90.00
_cell_angle_beta 90.00
_cell_angle_gamma 90.00
_symmetry_space_group_name_H-M 'A m m 2'
_symmetry_Int_Tables_number 38
_symmetry_space_group_name_Hall 'A 2 -2'
loop_
_atom_site_label
_atom_site_fract_x
_atom_site_fract_y
_atom_site_fract_z
_atom_site_occupancy
V1 0.000 0.000 0.000 1
V2 0.000 0.166 0.474 1
V3 0.500 0.000 0.473 1
V4 0.500 0.167 0.974 1
O1 0.000 0.067 0.479 1
O2 0.000 0.098 0.971 1
O3 0.000 0.233 0.972 1
O4 0.500 0.000 0.172 1
O5 0.500 0.166 0.271 1
O6 0.500 0.167 0.674 1
F1 0.500 0.000 0.787 1
# Spin magnetization = 7.0 μB/f.u.
# Final energy = -276.319 eV per cell